Entry 1:
A plane-wave DFT calculation with PBE-GGA was carried out for crystalline UNiHg at its relaxed geometry.

abc: 3.1108 5.9400 7.5110
angles: 77.86 78.06 58.44
Last column: nearest neighbours and their distance in Å.
Element x y z (fractional)
U1 0.1233 0.3096 0.6352  1 U 2.59, 4 Ni 2.73-2.86
U2 0.8767 0.6904 0.3648  1 U 2.59, 4 Ni 2.73-2.86
Hg1 0.5188 0.7571 0.9475  2 Ni 2.72-2.73, 2 Hg 3.05
Hg2 0.4812 0.2429 0.0525  2 Ni 2.72-2.73, 2 Hg 3.05
Ni1 0.9046 0.1662 0.3589  1 Ni 2.51, 2 Hg 2.72-2.73, 2 U 2.73
Ni2 0.0954 0.8338 0.6411  1 Ni 2.51, 2 Hg 2.72-2.73, 2 U 2.73

## Properties
Energy of formation ... 8.03 kJ per mole of atoms
SG ... No. 2

Entry 2:
A plane-wave DFT calculation with PBE-GGA was carried out for crystalline Ni2MoAu at its relaxed geometry.

abc: 4.7350 4.7350 4.5497
angles: 78.38 78.38 33.60
Last column: nearest neighbours and their distance in Å.
Element x y z (fractional)
Mo1 0.7420 0.7420 0.7822  7 Ni 2.55-2.77, 2 Mo 2.74, 3 Au 2.78-2.83
Au1 0.5041 0.5041 0.4826  7 Ni 2.65-2.70, 2 Au 2.74, 3 Mo 2.78-2.83
Ni1 0.2590 0.2590 0.2480  4 Mo 2.55-2.77, 4 Ni 2.60-2.74, 3 Au 2.66-2.70
Ni2 0.9949 0.9949 0.9872  5 Ni 2.60-2.89, 3 Mo 2.62-2.65, 4 Au 2.65-2.66

## Properties
Energy of formation ... 12.81 kJ per mole of atoms
SG ... No. 8

Entry 3:
A plane-wave DFT calculation with PBE-GGA was carried out for crystalline Hf6Sn2Sb at its relaxed geometry.

abc: 5.0263 8.6351 9.0687
angles: 90.00 90.00 90.00
Last column: nearest neighbours and their distance in Å.
Element x y z (fractional)
Sn1 0.0000 0.3319 0.7529  11 Hf 2.97-3.31
Sn2 0.5000 0.8319 0.7471  11 Hf 2.97-3.31
Sn3 0.0000 0.6681 0.2471  11 Hf 2.97-3.31
Sn4 0.5000 0.1681 0.2529  11 Hf 2.97-3.31
Hf1 0.5000 0.8400 0.4119  2 Sb 2.98, 5 Hf 3.00-3.28, 4 Sn 3.04-3.28
Hf2 0.0000 0.0017 0.1657  3 Sn 2.97-3.00, 4 Hf 3.00-3.02, 1 Sb 3.03
Hf3 0.0000 0.9983 0.8343  3 Sn 2.97-3.00, 4 Hf 3.00-3.02, 1 Sb 3.03
Hf4 0.0000 0.6600 0.9119  2 Sb 2.98, 5 Hf 3.00-3.28, 4 Sn 3.04-3.28
Hf5 0.5000 0.4983 0.6657  3 Sn 2.97-3.00, 4 Hf 3.00-3.02, 1 Sb 3.03
Hf6 0.5000 0.1600 0.5881  2 Sb 2.98, 5 Hf 3.00-3.28, 4 Sn 3.04-3.28
Hf7 0.0000 0.6677 0.5765  1 Sb 2.95, 3 Sn 2.99-3.27, 6 Hf 3.02-3.28
Hf8 0.0000 0.3323 0.4235  1 Sb 2.95, 3 Sn 2.99-3.27, 6 Hf 3.02-3.28
Hf9 0.5000 0.5017 0.3343  3 Sn 2.97-3.00, 4 Hf 3.00-3.02, 1 Sb 3.03
Hf10 0.5000 0.1678 0.9235  1 Sb 2.95, 3 Sn 2.99-3.27, 6 Hf 3.02-3.28
Hf11 0.5000 0.8322 0.0765  1 Sb 2.95, 3 Sn 2.99-3.27, 6 Hf 3.02-3.28
Hf12 0.0000 0.3400 0.0881  2 Sb 2.98, 5 Hf 3.00-3.28, 4 Sn 3.04-3.28
Sb1 0.5000 0.5000 0.0000  8 Hf 2.95-3.03
Sb2 0.0000 0.0000 0.5000  8 Hf 2.95-3.03

## Properties
E_form (uncorrected) ... -0.29 eV/atom
SG ... No. 58

Entry 4:
A plane-wave DFT calculation with PBE-GGA was carried out for crystalline Mn2CuPb at its relaxed geometry.

abc: 4.5869 4.5869 4.5869
angles: 60.00 60.00 60.00
Last column: nearest neighbours and their distance in Å.
Element x y z (fractional)
Mn1 0.2500 0.2500 0.2500  4 Cu 2.81, 4 Mn 2.81
Mn2 0.0000 0.0000 0.0000  4 Mn 2.81, 4 Pb 2.81
Pb1 0.7500 0.7500 0.7500  4 Cu 2.81, 4 Mn 2.81
Cu1 0.5000 0.5000 0.5000  4 Pb 2.81, 4 Mn 2.81

## Properties
Energy of formation ... 50.61 kJ per mole of atoms
SG ... No. 216

Entry 5:
A plane-wave DFT calculation with PBE-GGA was carried out for crystalline PuSiI at its relaxed geometry.

abc: 4.0959 4.0959 12.1439
angles: 90.17 99.54 120.00
Last column: nearest neighbours and their distance in Å.
Element x y z (fractional)
I1 0.4435 0.7186 0.1622  3 Pu 3.15
I2 0.5565 0.2814 0.8378  3 Pu 3.15
Pu1 0.8923 0.4446 0.3370  6 Si 2.98-3.15, 3 I 3.15
Pu2 0.1077 0.5554 0.6630  6 Si 2.98-3.15, 3 I 3.15
Si1 0.6743 0.8372 0.5115  3 Si 2.38
Si2 0.3257 0.1628 0.4885  3 Si 2.38

## Properties
E_form (uncorrected) ... -0.76 eV/atom
SG ... No. 12

Entry 6:
A plane-wave DFT calculation with PBE-GGA was carried out for crystalline Ta4Be at its relaxed geometry.

abc: 4.9077 4.9077 4.9077
angles: 109.47 109.47 109.47
Last column: nearest neighbours and their distance in Å.
Element x y z (fractional)
Be1 0.0000 0.0000 0.0000  8 Ta 2.45
Ta1 0.5000 0.5000 0.5000  2 Be 2.45
Ta2 0.0000 0.5000 0.0000  2 Be 2.45
Ta3 0.0000 0.0000 0.5000  2 Be 2.45
Ta4 0.5000 0.0000 0.0000  2 Be 2.45

## Properties
Energy of formation ... 70.99 kJ per mole of atoms
SG ... No. 229
ΔE to the lowest computed polymorph ... 620 meV/atom

Entry 7:
A plane-wave DFT calculation with PBE-GGA was carried out for crystalline TbSmDyEr at its relaxed geometry.

abc: 5.0368 5.0338 6.1560
angles: 114.13 114.15 90.00
Last column: nearest neighbours and their distance in Å.
Element x y z (fractional)
Er1 0.4456 0.4456 0.8912  4 Dy 3.56, 4 Tb 3.56, 4 Sm 3.56
Dy1 0.1956 0.6956 0.3912  4 Er 3.56, 4 Sm 3.56, 4 Tb 3.56
Tb1 0.6956 0.1956 0.3912  4 Sm 3.55-3.56, 4 Er 3.56, 4 Dy 3.56
Sm1 0.9454 0.9454 0.8909  4 Tb 3.55-3.56, 4 Dy 3.56, 4 Er 3.56

## Properties
Energy of formation ... 1.74 kJ per mole of atoms
SG ... No. 119
ΔE to the lowest computed polymorph ... 0 meV/atom

Entry 8:
A plane-wave DFT calculation with PBE-GGA was carried out for crystalline Mg3TiBr at its relaxed geometry.

abc: 5.1404 5.1404 5.1404
angles: 90.00 90.00 90.00
Last column: nearest neighbours and their distance in Å.
Element x y z (fractional)
Ti1 0.5000 0.5000 0.5000  12 Mg 3.63
Mg1 0.5000 0.0000 0.0000  2 Br 2.57
Mg2 0.0000 0.0000 0.5000  2 Br 2.57
Mg3 0.0000 0.5000 0.0000  2 Br 2.57
Br1 0.0000 0.0000 0.0000  6 Mg 2.57

## Properties
E_form (uncorrected) ... 0.60 eV/atom
SG ... No. 221
ΔE to the lowest computed polymorph ... 0 meV/atom

Entry 9:
A plane-wave DFT calculation with PBE-GGA was carried out for crystalline Tb6Ho8Mg at its relaxed geometry.

abc: 8.9746 8.9746 8.5172
angles: 58.21 58.21 60.00
Last column: nearest neighbours and their distance in Å.
Element x y z (fractional)
Tb1 0.1066 0.2293 0.1176  4 Ho 3.33-3.71, 1 Mg 3.36, 4 Tb 3.53-3.63
Tb2 0.4535 0.8934 0.8824  4 Ho 3.33-3.71, 1 Mg 3.36, 4 Tb 3.53-3.63
Tb3 0.2293 0.5465 0.1176  4 Ho 3.33-3.71, 1 Mg 3.36, 4 Tb 3.53-3.63
Tb4 0.7707 0.4535 0.8824  4 Ho 3.33-3.71, 1 Mg 3.36, 4 Tb 3.53-3.63
Tb5 0.8934 0.7707 0.8824  4 Ho 3.33-3.71, 1 Mg 3.36, 4 Tb 3.53-3.63
Tb6 0.5465 0.1066 0.1176  4 Ho 3.33-3.71, 1 Mg 3.36, 4 Tb 3.53-3.63
Ho1 0.7443 0.7175 0.4299  3 Tb 3.36-3.71, 5 Ho 3.37-3.40, 1 Mg 3.50
Ho2 0.2557 0.2825 0.5701  3 Tb 3.36-3.71, 5 Ho 3.37-3.40, 1 Mg 3.50
Ho3 0.8918 0.2557 0.5701  3 Tb 3.36-3.71, 5 Ho 3.37-3.40, 1 Mg 3.50
Ho4 0.7175 0.1082 0.4299  3 Tb 3.36-3.71, 5 Ho 3.37-3.40, 1 Mg 3.50
Ho5 0.4239 0.4239 0.7284  4 Ho 3.09-3.40, 3 Tb 3.33
Ho6 0.2825 0.8918 0.5701  3 Tb 3.36-3.71, 5 Ho 3.37-3.40, 1 Mg 3.50
Ho7 0.1082 0.7443 0.4299  3 Tb 3.36-3.71, 5 Ho 3.37-3.40, 1 Mg 3.50
Ho8 0.5761 0.5761 0.2716  4 Ho 3.09-3.40, 3 Tb 3.33
Mg1 0.0000 0.0000 0.0000  6 Tb 3.36, 6 Ho 3.50

## Properties
Energy of formation ... 9.33 kJ per mole of atoms
SG ... No. 148
ΔE to the lowest computed polymorph ... 0 meV/atom

Entry 10:
A plane-wave DFT calculation with PBE-GGA was carried out for crystalline MnCrIn2 at its relaxed geometry.

abc: 7.4230 7.4230 5.9510
angles: 51.41 51.41 90.00
Last column: nearest neighbours and their distance in Å.
Element x y z (fractional)
Mn1 0.0000 0.0000 0.0000  4 In 2.63, 2 Cr 2.80
Mn2 0.7500 0.2500 0.5000  4 In 2.63, 2 Cr 2.80
In1 0.6423 0.1250 0.2500  2 Mn 2.63, 2 Cr 2.81, 2 In 2.82
In2 0.3750 0.3577 0.7500  2 Mn 2.63, 2 Cr 2.81, 2 In 2.82
In3 0.8750 0.8923 0.7500  2 Mn 2.63, 2 Cr 2.81, 2 In 2.82
In4 0.1077 0.6250 0.2500  2 Mn 2.63, 2 Cr 2.81, 2 In 2.82
Cr1 0.5000 0.5000 0.0000  2 Mn 2.80, 4 In 2.81
Cr2 0.2500 0.7500 0.5000  2 Mn 2.80, 4 In 2.81

## Properties
Energy of formation ... 88.21 kJ per mole of atoms
SG ... No. 122
ΔE to the lowest computed polymorph ... 679 meV/atom

Entry 11:
A plane-wave DFT calculation with PBE-GGA was carried out for crystalline AcHgF at its relaxed geometry.

abc: 4.9785 4.3695 4.3695
angles: 120.00 90.00 90.00
Last column: nearest neighbours and their distance in Å.
Element x y z (fractional)
F1 0.1666 0.6667 0.3333  3 Ac 2.52
Hg1 0.6667 0.3333 0.6667  6 F 3.54, 6 Ac 3.54
Ac1 0.1667 0.0000 0.0000  3 F 2.52

## Properties
E_form (uncorrected) ... -1.91 eV/atom
SG ... No. 187
ΔE to the lowest computed polymorph ... 128 meV/atom

Entry 12:
A plane-wave DFT calculation with PBE-GGA was carried out for crystalline AlNiAgSe at its relaxed geometry.

abc: 2.8474 2.8474 8.6923
angles: 90.00 90.00 90.00
Last column: nearest neighbours and their distance in Å.
Element x y z (fractional)
Ag1 0.0000 0.0000 0.8056  4 Ni 2.76, 4 Ag 2.85, 1 Se 2.97
Al1 0.0000 0.0000 0.1728  4 Ni 2.40, 1 Se 2.53
Ni1 0.5000 0.5000 0.0224  4 Al 2.40
Se1 0.0000 0.0000 0.4641  1 Al 2.53

## Properties
E_form (uncorrected) ... -0.18 eV/atom
SG ... No. 99
ΔE to the lowest computed polymorph ... 54 meV/atom

Entry 13:
A plane-wave DFT calculation with PBE-GGA was carried out for crystalline BeCdP at its relaxed geometry.

abc: 3.6701 5.1351 6.2098
angles: 105.85 91.60 95.46
Last column: nearest neighbours and their distance in Å.
Element x y z (fractional)
P1 0.4981 0.0305 0.4313  3 Be 2.11-2.14
P2 0.9908 0.8979 0.8964  3 Be 2.11-2.18
Cd1 0.0867 0.4335 0.0384  1 Be 2.60, 2 P 2.63-2.81, 1 Cd 2.89
Cd2 0.7741 0.5348 0.4714  3 P 2.63-2.90, 2 Be 2.77-2.78, 1 Cd 2.89
Be1 0.9794 0.9286 0.2536  3 P 2.12-2.18
Be2 0.4926 0.9758 0.7559  3 P 2.11-2.12

## Properties
Energy of formation ... -1.34 kJ per mole of atoms
SG ... No. 1
ΔE to the lowest computed polymorph ... 32 meV/atom

Entry 14:
A plane-wave DFT calculation with PBE-GGA was carried out for crystalline Ac6LaPr8 at its relaxed geometry.

abc: 9.6646 9.6646 9.2732
angles: 58.59 58.59 60.00
Last column: nearest neighbours and their distance in Å.
Element x y z (fractional)
Ac1 0.4597 0.7580 0.8722  4 Pr 3.58-3.93, 1 La 3.69, 2 Ac 3.84
Ac2 0.2420 0.0898 0.1278  4 Pr 3.58-3.93, 1 La 3.69, 2 Ac 3.84
Ac3 0.9102 0.4597 0.8722  4 Pr 3.58-3.93, 1 La 3.69, 2 Ac 3.84
Ac4 0.0898 0.5403 0.1278  4 Pr 3.58-3.93, 1 La 3.69, 2 Ac 3.84
Ac5 0.7580 0.9102 0.8722  4 Pr 3.58-3.93, 1 La 3.69, 2 Ac 3.84
Ac6 0.5403 0.2420 0.1278  4 Pr 3.58-3.93, 1 La 3.69, 2 Ac 3.84
La1 0.0000 0.0000 0.0000  6 Ac 3.69, 6 Pr 3.77
Pr1 0.4250 0.4250 0.7250  4 Pr 3.33-3.63, 3 Ac 3.72
Pr2 0.2943 0.2384 0.5806  3 Ac 3.58-3.93, 5 Pr 3.63-3.70, 1 La 3.77
Pr3 0.2384 0.8867 0.5806  3 Ac 3.58-3.93, 5 Pr 3.63-3.70, 1 La 3.77
Pr4 0.8867 0.2943 0.5806  3 Ac 3.58-3.93, 5 Pr 3.63-3.70, 1 La 3.77
Pr5 0.1133 0.7057 0.4194  3 Ac 3.58-3.93, 5 Pr 3.63-3.70, 1 La 3.77
Pr6 0.5750 0.5750 0.2750  4 Pr 3.33-3.63, 3 Ac 3.72
Pr7 0.7616 0.1133 0.4194  3 Ac 3.58-3.93, 5 Pr 3.63-3.70, 1 La 3.77
Pr8 0.7057 0.7616 0.4194  3 Ac 3.58-3.93, 5 Pr 3.63-3.70, 1 La 3.77

## Properties
Energy of formation ... 10.25 kJ per mole of atoms
SG ... No. 148

Entry 15:
A plane-wave DFT calculation with PBE-GGA was carried out for crystalline BeSbTe at its relaxed geometry.

abc: 4.0251 6.5506 6.8411
angles: 113.52 98.54 94.06
Last column: nearest neighbours and their distance in Å.
Element x y z (fractional)
Be1 0.2095 0.6048 0.8971  3 Te 2.42-2.50, 1 Sb 2.54
Be2 0.5908 0.9843 0.6706  3 Te 2.44-2.53, 1 Sb 2.52
Te1 0.6518 0.6301 0.7011  3 Be 2.42-2.49
Te2 0.1495 0.2056 0.8530  3 Be 2.44-2.53
Sb1 0.0157 0.2304 0.2859  2 Sb 2.83-2.94, 1 Te 3.03
Sb2 0.4570 0.9091 0.2738  2 Be 2.52-2.54

## Properties
E_form (uncorrected) ... -0.04 eV/atom
SG ... No. 1
ΔE to the lowest computed polymorph ... 35 meV/atom

Entry 16:
A plane-wave DFT calculation with PBE-GGA was carried out for crystalline TmNi6C at its relaxed geometry.

abc: 5.1361 5.1361 5.2946
angles: 60.99 60.99 60.00
Last column: nearest neighbours and their distance in Å.
Element x y z (fractional)
Ni1 0.0988 0.0988 0.2308  1 C 1.86
Ni2 0.9012 0.4284 0.7692  1 C 1.86
Ni3 0.5716 0.0988 0.2308  1 C 1.86
Ni4 0.9012 0.9012 0.7692  1 C 1.86
Ni5 0.4284 0.9012 0.7692  1 C 1.86
Ni6 0.0988 0.5716 0.2308  1 C 1.86
C1 0.0000 0.0000 0.0000  6 Ni 1.86
Tm1 0.5000 0.5000 0.5000  12 Ni 2.83

## Properties
Energy of formation ... -11.10 kJ per mole of atoms
SG ... No. 166

Entry 17:
A plane-wave DFT calculation with PBE-GGA was carried out for crystalline La4Sm5Er at its relaxed geometry.

abc: 5.6340 10.6514 6.5781
angles: 90.16 115.36 90.00
Last column: nearest neighbours and their distance in Å.
Element x y z (fractional)
La1 0.9524 0.2472 0.9047  1 La 3.25, 2 Sm 3.50-3.52
La2 0.0476 0.7528 0.0953  1 La 3.25, 2 Sm 3.50-3.52
La3 0.6788 0.2503 0.3577  1 La 3.25, 1 Er 3.40, 5 Sm 3.41-3.45
La4 0.3212 0.7497 0.6423  1 La 3.25, 1 Er 3.40, 5 Sm 3.41-3.45
Sm1 0.8033 0.9354 0.6066  2 Sm 3.38, 5 La 3.45-3.76, 3 Er 3.67-3.72
Sm2 0.8050 0.5633 0.6101  5 Sm 3.38-3.71, 4 La 3.45-3.65
Sm3 0.1950 0.4367 0.3899  5 Sm 3.38-3.71, 4 La 3.45-3.65
Sm4 0.1967 0.0646 0.3934  2 Sm 3.38, 5 La 3.45-3.76, 3 Er 3.67-3.72
Sm5 0.5000 0.5000 0.0000  2 La 3.41, 6 Sm 3.69-3.71
Er1 0.5000 0.0000 0.0000  2 La 3.40, 6 Sm 3.67-3.72

## Properties
Energy of formation ... 15.60 kJ per mole of atoms
SG ... No. 12
ΔE to the lowest computed polymorph ... 0 meV/atom

Entry 18:
A plane-wave DFT calculation with PBE-GGA was carried out for crystalline Pm6Pb6Au at its relaxed geometry.

abc: 6.7004 6.7004 10.5722
angles: 90.00 90.00 120.00
Last column: nearest neighbours and their distance in Å.
Element x y z (fractional)
Pb1 0.0000 0.5000 0.2508  6 Pm 3.27-3.37, 4 Pb 3.35
Pb2 0.0000 0.5000 0.7492  6 Pm 3.27-3.37, 4 Pb 3.35
Pb3 0.5000 0.5000 0.7492  6 Pm 3.27-3.37, 4 Pb 3.35
Pb4 0.5000 0.0000 0.2508  6 Pm 3.27-3.37, 4 Pb 3.35
Pb5 0.5000 0.5000 0.2508  6 Pm 3.27-3.37, 4 Pb 3.35
Pb6 0.5000 0.0000 0.7492  6 Pm 3.27-3.37, 4 Pb 3.35
Pm1 0.3333 0.6667 0.0000  6 Pb 3.28
Pm2 0.0000 0.0000 0.7168  1 Au 2.99
Pm3 0.0000 0.0000 0.2832  1 Au 2.99
Pm4 0.3333 0.6667 0.5000  6 Pb 3.27
Pm5 0.6667 0.3333 0.0000  6 Pb 3.28
Pm6 0.6667 0.3333 0.5000  6 Pb 3.27
Au1 0.0000 0.0000 0.0000  2 Pm 2.99

## Properties
Energy of formation ... -39.72 kJ per mole of atoms
SG ... No. 191

Entry 19:
A plane-wave DFT calculation with PBE-GGA was carried out for crystalline MnRePb2 at its relaxed geometry.

abc: 7.5471 7.5471 6.0796
angles: 51.63 51.63 90.00
Last column: nearest neighbours and their distance in Å.
Element x y z (fractional)
Pb1 0.3750 0.3879 0.7500  2 Mn 2.70, 2 Re 2.83, 2 Pb 2.92
Pb2 0.8750 0.8621 0.7500  2 Mn 2.70, 2 Re 2.83, 2 Pb 2.92
Pb3 0.6121 0.1250 0.2500  2 Mn 2.70, 2 Re 2.83, 2 Pb 2.92
Pb4 0.1379 0.6250 0.2500  2 Mn 2.70, 2 Re 2.83, 2 Pb 2.92
Mn1 0.2500 0.7500 0.5000  4 Pb 2.70, 2 Re 2.91
Mn2 0.5000 0.5000 0.0000  4 Pb 2.70, 2 Re 2.91
Re1 0.0000 0.0000 0.0000  4 Pb 2.83, 2 Mn 2.91
Re2 0.7500 0.2500 0.5000  4 Pb 2.83, 2 Mn 2.91

## Properties
Energy of formation ... 151.03 kJ per mole of atoms
SG ... No. 122
ΔE to the lowest computed polymorph ... 1149 meV/atom

Entry 20:
A plane-wave DFT calculation with PBE-GGA was carried out for crystalline SmEr2ScS6 at its relaxed geometry.

abc: 6.8179 6.8178 7.2590
angles: 61.98 61.98 59.99
Last column: nearest neighbours and their distance in Å.
Element x y z (fractional)
S1 0.4036 0.7120 0.7560  1 Sc 2.64, 2 Er 2.68-2.75, 1 Sm 2.75
S2 0.2216 0.9325 0.2472  1 Sc 2.60, 2 Er 2.70-2.76, 1 Sm 2.87
S3 0.1283 0.4036 0.7561  1 Sc 2.64, 2 Er 2.68-2.76, 1 Sm 2.75
S4 0.5985 0.2217 0.2472  1 Sc 2.60, 2 Er 2.70-2.76, 1 Sm 2.87
S5 0.7121 0.1282 0.7561  1 Sc 2.64, 2 Er 2.68-2.76, 1 Sm 2.75
S6 0.9326 0.5986 0.2473  1 Sc 2.60, 2 Er 2.70-2.76, 1 Sm 2.87
Er1 0.5188 0.5188 0.4437  6 S 2.70-2.76
Er2 0.0137 0.0137 0.9590  6 S 2.68-2.76
Sm1 0.8125 0.8125 0.5624  6 S 2.75-2.87
Sc1 0.3199 0.3199 0.0402  6 S 2.60-2.64

## Properties
E_form (uncorrected) ... -2.00 eV/atom
SG ... No. 146